The following is a DFT calculation (PBE) of a geometry-optimized YInSi2 structure.

Cell lengths 4.958, 4.958, 4.958 Å; angles 60.00, 60.00, 60.00 degrees
Fractional coordinates of all 4 atoms:
Y (0.000, 0.000, 0.000)
In (0.500, 0.500, 0.500)
Si (0.250, 0.250, 0.250)
Si (0.750, 0.750, 0.750)

E_form (uncorrected) = 0.0784 eV/atom
Energy relative to the lowest polymorph listed for this composition = 293 meV per atom
Total DFT energy (no corrections) = -4.93 eV/atom
Crystal system = cubic
N(E_F) = 3.6 states/eV per cell

=====

The following is a DFT calculation (PBE) of a geometry-optimized Y2InSi structure.

Cell lengths 6.145, 6.145, 6.145 Å; angles 142.36, 135.64, 59.55 degrees
Fractional coordinates of all 4 atoms:
Y (0.000, 0.000, 0.000)
Y (0.737, 0.237, 0.500)
In (0.279, 0.779, 0.500)
Si (0.475, 0.475, 0.000)

E_form (uncorrected) = -0.4746 eV/atom
Total DFT energy (no corrections) = -5.75 eV/atom
Crystal system = orthorhombic
N(E_F) = 1.7 states/eV per cell

=====

The following is a DFT calculation (PBE) of a geometry-optimized YIn2Si structure.

Cell lengths 5.702, 5.702, 5.702 Å; angles 134.94, 134.94, 65.62 degrees
Fractional coordinates of all 4 atoms:
Y (0.000, 0.000, 0.000)
In (0.250, 0.750, 0.500)
In (0.500, 0.500, 0.000)
Si (0.750, 0.250, 0.500)

E_form (uncorrected) = -0.2271 eV/atom
Energy relative to the lowest polymorph listed for this composition = 73 meV per atom
Total DFT energy (no corrections) = -4.57 eV/atom
Crystal system = tetragonal
N(E_F) = 2.4 states/eV per cell

=====

The following is a DFT calculation (PBE) of a geometry-optimized YInSi structure.

Cell lengths 6.017, 6.017, 6.017 Å; angles 148.26, 143.13, 49.42 degrees
Fractional coordinates of all 3 atoms:
Y (0.000, 0.000, 0.000)
In (0.702, 0.702, 0.000)
Si (0.336, 0.336, 0.000)

E_form (uncorrected) = -0.1827 eV/atom
Total DFT energy (no corrections) = -5.06 eV/atom
Crystal system = orthorhombic
N(E_F) = 2.5 states/eV per cell

=====

The following is a DFT calculation (PBE) of a geometry-optimized YIn2Si structure.

Cell lengths 5.944, 5.944, 5.944 Å; angles 138.74, 138.43, 60.01 degrees
Fractional coordinates of all 4 atoms:
Y (0.000, 0.000, 0.000)
In (0.251, 0.751, 0.500)
In (0.749, 0.249, 0.500)
Si (0.500, 0.500, 0.000)

E_form (uncorrected) = -0.2994 eV/atom
Energy relative to the lowest polymorph listed for this composition = 1 meV per atom
Total DFT energy (no corrections) = -4.64 eV/atom
Crystal system = orthorhombic
N(E_F) = 1.8 states/eV per cell

=====

The following is a DFT calculation (PBE) of a geometry-optimized Y2InSi structure.

Cell lengths 3.495, 3.934, 7.035 Å; angles 90.00, 90.00, 90.00 degrees
Fractional coordinates of all 4 atoms:
Y (0.000, 0.000, 0.227)
Y (0.000, 0.000, 0.773)
In (0.500, 0.500, 0.500)
Si (0.500, 0.500, 0.000)

E_form (uncorrected) = -0.4845 eV/atom
Total DFT energy (no corrections) = -5.76 eV/atom
Crystal system = orthorhombic
N(E_F) = 2.1 states/eV per cell

=====

The following is a DFT calculation (PBE) of a geometry-optimized Y2InSi structure.

Cell lengths 3.329, 3.329, 8.663 Å; angles 90.00, 90.00, 90.00 degrees
Fractional coordinates of all 4 atoms:
Y (0.000, 0.000, 0.219)
Y (0.000, 0.000, 0.781)
In (0.500, 0.500, 0.500)
Si (0.500, 0.500, 0.000)

E_form (uncorrected) = -0.4932 eV/atom
Total DFT energy (no corrections) = -5.77 eV/atom
Crystal system = tetragonal
N(E_F) = 3.4 states/eV per cell

=====

The following is a DFT calculation (PBE) of a geometry-optimized Y2InSi structure.

Cell lengths 4.057, 4.057, 8.442 Å; angles 99.98, 99.98, 52.23 degrees
Fractional coordinates of all 4 atoms:
Y (0.237, 0.237, 0.211)
Y (0.763, 0.763, 0.789)
In (0.000, 0.000, 0.500)
Si (0.500, 0.500, 0.000)

E_form (uncorrected) = -0.4610 eV/atom
Total DFT energy (no corrections) = -5.73 eV/atom
Crystal system = monoclinic
N(E_F) = 2.4 states/eV per cell

=====

The following is a DFT calculation (PBE) of a geometry-optimized Y2InSi structure.

Cell lengths 4.823, 4.823, 4.145 Å; angles 90.00, 90.00, 90.00 degrees
Fractional coordinates of all 4 atoms:
Y (0.000, 0.500, 0.000)
Y (0.500, 0.000, 0.000)
In (0.000, 0.000, 0.500)
Si (0.500, 0.500, 0.500)

E_form (uncorrected) = -0.4470 eV/atom
Total DFT energy (no corrections) = -5.72 eV/atom
Crystal system = tetragonal
N(E_F) = 2.3 states/eV per cell

=====

The following is a DFT calculation (PBE) of a geometry-optimized Y2In2Si structure.

Cell lengths 7.533, 7.533, 4.852 Å; angles 90.00, 90.00, 90.00 degrees
Fractional coordinates of all 10 atoms:
Y (0.164, 0.336, 0.000)
Y (0.336, 0.836, 0.000)
Y (0.664, 0.164, 0.000)
Y (0.836, 0.664, 0.000)
In (0.145, 0.645, 0.500)
In (0.355, 0.145, 0.500)
In (0.645, 0.855, 0.500)
In (0.855, 0.355, 0.500)
Si (0.000, 0.000, 0.000)
Si (0.500, 0.500, 0.000)

E_form (uncorrected) = -0.2488 eV/atom
Energy relative to the lowest polymorph listed for this composition = 67 meV per atom
Total DFT energy (no corrections) = -5.01 eV/atom
Crystal system = tetragonal
N(E_F) = 7.8 states/eV per cell

=====

The following is a DFT calculation (PBE) of a geometry-optimized YIn2Si structure.

Cell lengths 3.774, 3.774, 6.646 Å; angles 90.00, 90.00, 90.00 degrees
Fractional coordinates of all 4 atoms:
Y (0.000, 0.000, 0.000)
In (0.000, 0.000, 0.536)
In (0.500, 0.500, 0.294)
Si (0.500, 0.500, 0.755)

E_form (uncorrected) = -0.1497 eV/atom
Energy relative to the lowest polymorph listed for this composition = 151 meV per atom
Total DFT energy (no corrections) = -4.49 eV/atom
Crystal system = tetragonal
N(E_F) = 2.6 states/eV per cell

=====

The following is a DFT calculation (PBE) of a geometry-optimized YInSi2 structure.

Cell lengths 5.399, 5.399, 5.058 Å; angles 114.90, 114.90, 41.55 degrees
Fractional coordinates of all 4 atoms:
Y (0.000, 0.000, 0.000)
In (0.500, 0.500, 0.500)
Si (0.249, 0.249, 0.658)
Si (0.751, 0.751, 0.342)

E_form (uncorrected) = -0.1868 eV/atom
Energy relative to the lowest polymorph listed for this composition = 28 meV per atom
Total DFT energy (no corrections) = -5.20 eV/atom
Crystal system = monoclinic
N(E_F) = 1.2 states/eV per cell

=====

Question: What is the formula in the second record?
Answer: Y2InSi

=====

Question: Which value of N(E_F) does entry 9 give?
Answer: 2.3 states/eV per cell

=====

Question: Among the records above, which one has the lowest N(E_F)?
Answer: number 12